A plane-wave DFT calculation with PBE was carried out for an optimized crystal structure of Na3TlCd3In2.

Unit cell a=8.887 b=8.887 c=3.373 alpha=90.00 beta=90.00 gamma=120.00
Fractional coordinates of all 9 atoms:
Na: 0.000 0.700 0.000
Na: 0.300 0.300 0.000
Na: 0.700 0.000 0.000
Tl: 0.000 0.000 0.500
Cd: 0.000 0.362 0.500
Cd: 0.362 0.000 0.500
Cd: 0.638 0.638 0.500
In: 0.333 0.667 0.000
In: 0.667 0.333 0.000

Size of the total moment in μB per formula unit: 0.000
Symmetry: P-62m (189)
E_form in meV/atom: -76